Record 1
{"formula": "YHf2Sc2", "functional": "PBE", "state": "optimized geometry", "ef_ev_per_atom": 0.119, "total_magnetization_mub_per_fu": 0.00, "rho_g_cm3": 7.07, "de_polymorph_mev_per_atom": 0, "e_tot_ev_per_atom": -7.6879, "lattice": [[8.5866, 0.0000, 0.0000], [0.0000, 8.5866, 0.0000], [0.0000, 0.0000, 3.4139]], "species": ["Y", "Y", "Hf", "Hf", "Hf", "Hf", "Sc", "Sc", "Sc", "Sc"], "frac_coords": [[0.0000, 0.0000, 0.0000], [0.5000, 0.5000, 0.0000], [0.1211, 0.3789, 0.0000], [0.3789, 0.8789, 0.0000], [0.6211, 0.1211, 0.0000], [0.8789, 0.6211, 0.0000], [0.1715, 0.6715, 0.5000], [0.3285, 0.1715, 0.5000], [0.6715, 0.8285, 0.5000], [0.8285, 0.3285, 0.5000]]}

Record 2
{"formula": "Y2HfSc12", "functional": "PBE", "state": "optimized geometry", "ef_ev_per_atom": 0.570, "total_magnetization_mub_per_fu": 2.25, "rho_g_cm3": 3.59, "e_tot_ev_per_atom": -6.0211, "lattice": [[6.8876, 0.0000, 0.0000], [0.0000, 6.8876, 0.0000], [0.0000, 0.0000, 17.4923]], "species": ["Y", "Y", "Y", "Y", "Hf", "Hf", "Sc", "Sc", "Sc", "Sc", "Sc", "Sc", "Sc", "Sc", "Sc", "Sc", "Sc", "Sc", "Sc", "Sc", "Sc", "Sc", "Sc", "Sc", "Sc", "Sc", "Sc", "Sc", "Sc", "Sc"], "frac_coords": [[0.2500, 0.7500, 0.2462], [0.2500, 0.7500, 0.7538], [0.7500, 0.2500, 0.2462], [0.7500, 0.2500, 0.7538], [0.2500, 0.7500, 0.0000], [0.7500, 0.2500, 0.0000], [0.9997, 0.0003, 0.0937], [0.0003, 0.9997, 0.9063], [0.0003, 0.5003, 0.0937], [0.9997, 0.4997, 0.9063], [0.0982, 0.5982, 0.4343], [0.0982, 0.9018, 0.5657], [0.2500, 0.2500, 0.2058], [0.2500, 0.2500, 0.3692], [0.2500, 0.2500, 0.6308], [0.2500, 0.2500, 0.7942], [0.4018, 0.5982, 0.5657], [0.4018, 0.9018, 0.4343], [0.4997, 0.9997, 0.0937], [0.5003, 0.0003, 0.9063], [0.5003, 0.4997, 0.0937], [0.4997, 0.5003, 0.9063], [0.5982, 0.0982, 0.5657], [0.5982, 0.4018, 0.4343], [0.7500, 0.7500, 0.2058], [0.7500, 0.7500, 0.3692], [0.7500, 0.7500, 0.6308], [0.7500, 0.7500, 0.7942], [0.9018, 0.0982, 0.4343], [0.9018, 0.4018, 0.5657]]}

Record 3
{"formula": "Y2HfSc", "functional": "PBE", "state": "optimized geometry", "ef_ev_per_atom": 0.253, "total_magnetization_mub_per_fu": 1.76, "rho_g_cm3": 6.09, "de_polymorph_mev_per_atom": 130, "e_tot_ev_per_atom": -7.0502, "lattice": [[0.0000, 3.7970, 3.7970], [3.7970, 0.0000, 3.7970], [3.7970, 3.7970, 0.0000]], "species": ["Y", "Y", "Hf", "Sc"], "frac_coords": [[0.2500, 0.2500, 0.2500], [0.7500, 0.7500, 0.7500], [0.0000, 0.0000, 0.0000], [0.5000, 0.5000, 0.5000]]}

Record 4
{"formula": "YHf2Sc", "functional": "PBE", "state": "optimized geometry", "ef_ev_per_atom": 0.153, "total_magnetization_mub_per_fu": 0.00, "rho_g_cm3": 8.31, "de_polymorph_mev_per_atom": 18, "e_tot_ev_per_atom": -8.0228, "lattice": [[1.6231, 0.9371, 10.7478], [-1.6231, 0.9371, 10.7478], [0.0000, -1.8742, 10.7478]], "species": ["Y", "Hf", "Hf", "Sc"], "frac_coords": [[0.0000, 0.0000, 0.0000], [0.2472, 0.2472, 0.2472], [0.7528, 0.7528, 0.7528], [0.5000, 0.5000, 0.5000]]}